Material: Sr3Ac3In4
Method: DFT, PBE
State: relaxed

```
data_Sr3Ac3In4
_space_group_name_H-M_alt 'A m m 2'
_space_group_IT_number 38
_space_group_name_Hall 'A 2 -2'
_cell_length_a 4.450
_cell_length_b 13.141
_cell_length_c 13.088
_cell_angle_alpha 90.00
_cell_angle_beta 90.00
_cell_angle_gamma 90.00
loop_
_atom_site_label
_atom_site_fract_x
_atom_site_fract_y
_atom_site_fract_z
Sr1 0.000 0.000 0.000
Sr2 0.500 0.249 0.582
Ac1 0.000 0.000 0.667
Ac2 0.000 0.167 0.332
In1 0.500 0.000 0.207
In2 0.500 0.000 0.460
In3 0.500 0.128 0.832
```

Fermi-level density of states = 1.2727 states/eV/atom
Formation enthalpy at 0 K = -342 meV/atom



Material: ScTiAl2
Method: DFT, PBE
State: relaxed

```
data_ScTiAl2
_space_group_name_H-M_alt 'P m m m'
_space_group_IT_number 47
_space_group_name_Hall '-P 2 2'
_cell_length_a 2.925
_cell_length_b 2.955
_cell_length_c 8.189
_cell_angle_alpha 90.00
_cell_angle_beta 90.00
_cell_angle_gamma 90.00
loop_
_atom_site_label
_atom_site_fract_x
_atom_site_fract_y
_atom_site_fract_z
Sc1 0.000 0.000 0.000
Ti1 0.000 0.000 0.500
Al1 0.500 0.500 0.265
```

Fermi-level density of states = 0.8811 states/eV/atom
Energy above the most stable polymorph in this dataset = 0.000 eV/atom
Formation enthalpy at 0 K = -400 meV/atom



Material: CsSrScI6
Method: DFT, PBE
State: relaxed

```
data_CsSrScI6
_space_group_name_H-M_alt 'P 3 1 2'
_space_group_IT_number 149
_space_group_name_Hall 'P 3 2'
_cell_length_a 8.1206
_cell_length_b 8.1206
_cell_length_c 8.4648
_cell_angle_alpha 90.00
_cell_angle_beta 90.00
_cell_angle_gamma 120.00
loop_
_atom_site_label
_atom_site_fract_x
_atom_site_fract_y
_atom_site_fract_z
Cs1 0.0000 0.0000 0.0000
Sr1 0.3333 0.6667 0.5000
Sc1 0.6667 0.3333 0.5000
I1 0.3863 0.0346 0.7040
```

Fermi-level density of states = 0.0000 states/eV/atom
VASP energy = -31.34 eV per formula unit



Material: ZnCr2
Method: DFT, PBE
State: relaxed

```
data_ZnCr2
_space_group_name_H-M_alt 'I 41/a m d'
_space_group_IT_number 141
_cell_length_a 2.641
_cell_length_b 2.641
_cell_length_c 22.483
_cell_angle_alpha 90.00
_cell_angle_beta 90.00
_cell_angle_gamma 90.00
loop_
_space_group_symop_operation_xyz
'x,y,z'
'-x,-y,-z'
'-y+1/4,x+3/4,z+1/4'
'y+1/4,-x+3/4,-z+1/4'
'-x+1/2,-y,z+1/2'
'x+1/2,y,-z+1/2'
'y+1/4,-x+1/4,z+3/4'
'-y+1/4,x+1/4,-z+3/4'
'x,-y,-z'
'-x,y,z'
'-y+1/4,-x+1/4,-z+3/4'
'y+1/4,x+1/4,z+3/4'
'-x+1/2,y,-z+1/2'
'x+1/2,-y,z+1/2'
'y+1/4,x+3/4,-z+1/4'
'-y+1/4,-x+3/4,z+1/4'
'x+1/2,y+1/2,z+1/2'
'-x+1/2,-y+1/2,-z+1/2'
'-y+3/4,x+1/4,z+3/4'
'y+3/4,-x+1/4,-z+3/4'
'-x,-y+1/2,z'
'x,y+1/2,-z'
'y+3/4,-x+3/4,z+1/4'
'-y+3/4,x+3/4,-z+1/4'
'x+1/2,-y+1/2,-z+1/2'
'-x+1/2,y+1/2,z+1/2'
'-y+3/4,-x+3/4,-z+1/4'
'y+3/4,x+3/4,z+1/4'
'-x,y+1/2,-z'
'x,-y+1/2,z'
'y+3/4,x+1/4,-z+3/4'
'-y+3/4,-x+1/4,z+3/4'
loop_
_atom_site_label
_atom_site_fract_x
_atom_site_fract_y
_atom_site_fract_z
Zn1 0.000 0.250 0.375
Cr1 0.000 0.250 0.789
```

Fermi-level density of states = 1.1417 states/eV/atom
Formation enthalpy at 0 K = 487 meV/atom



Material: Ta4HgRh
Method: DFT, PBE
State: relaxed

```
data_Ta4HgRh
_space_group_name_H-M_alt 'F -4 3 m'
_space_group_IT_number 216
_space_group_name_Hall 'F -4 2 3'
_cell_length_a 7.661
_cell_length_b 7.661
_cell_length_c 7.661
_cell_angle_alpha 90.00
_cell_angle_beta 90.00
_cell_angle_gamma 90.00
loop_
_atom_site_label
_atom_site_fract_x
_atom_site_fract_y
_atom_site_fract_z
Ta1 0.125 0.125 0.125
Hg1 0.250 0.250 0.750
Rh1 0.000 0.000 0.500
```

Fermi-level density of states = 0.9459 states/eV/atom
Formation enthalpy at 0 K = 392 meV/atom



Material: LiBe2Ir
Method: DFT, PBE
State: relaxed

```
data_LiBe2Ir
_space_group_name_H-M_alt 'P m m n'
_space_group_IT_number 59
_cell_length_a 3.858
_cell_length_b 5.361
_cell_length_c 4.015
_cell_angle_alpha 90.00
_cell_angle_beta 90.00
_cell_angle_gamma 90.00
loop_
_space_group_symop_operation_xyz
'x,y,z'
'-x,-y,-z'
'-x+1/2,-y+1/2,z'
'x+1/2,y+1/2,-z'
'x+1/2,-y,-z'
'-x+1/2,y,z'
'-x,y+1/2,-z'
'x,-y+1/2,z'
loop_
_atom_site_label
_atom_site_fract_x
_atom_site_fract_y
_atom_site_fract_z
Li1 0.250 0.250 0.228
Be1 0.250 0.502 0.701
Ir1 0.250 0.750 0.217
```

Fermi-level density of states = 0.2981 states/eV/atom
Formation enthalpy at 0 K = -379 meV/atom



Material: Na2In9Pt3
Method: DFT, PBE
State: relaxed

```
data_Na2In9Pt3
_space_group_name_H-M_alt 'C 1 2/c 1'
_space_group_IT_number 15
_space_group_name_Hall '-C 2yc'
_cell_length_a 14.253
_cell_length_b 8.238
_cell_length_c 11.699
_cell_angle_alpha 90.00
_cell_angle_beta 114.46
_cell_angle_gamma 90.00
loop_
_atom_site_label
_atom_site_fract_x
_atom_site_fract_y
_atom_site_fract_z
Na1 0.168 0.084 0.250
In1 0.000 0.356 0.250
In2 0.057 0.072 0.921
In3 0.111 0.411 0.069
In4 0.113 0.304 0.749
In5 0.229 0.412 0.422
Pt1 0.083 0.253 0.501
Pt2 0.250 0.250 0.000
```

Fermi-level density of states = 0.2850 states/eV/atom
Formation enthalpy at 0 K = -330 meV/atom



Material: NaSiAs2
Method: DFT, PBE
State: relaxed

```
data_NaSiAs2
_space_group_name_H-M_alt 'R -3 m'
_space_group_IT_number 166
_space_group_name_Hall '-R 3 2"'
_cell_length_a 3.5382
_cell_length_b 3.5382
_cell_length_c 22.9034
_cell_angle_alpha 90.00
_cell_angle_beta 90.00
_cell_angle_gamma 120.00
loop_
_atom_site_label
_atom_site_fract_x
_atom_site_fract_y
_atom_site_fract_z
Na1 0.0000 0.0000 0.0000
Si1 0.0000 0.0000 0.5000
As1 0.0000 0.0000 0.2320
```

Fermi-level density of states = 0.4673 states/eV/atom
VASP energy = -16.38 eV per formula unit



Material: KBaTa2
Method: DFT, PBE
State: relaxed

```
data_KBaTa2
_space_group_name_H-M_alt 'R -3 m'
_space_group_IT_number 166
_space_group_name_Hall '-R 3 2"'
_cell_length_a 3.0831
_cell_length_b 3.0831
_cell_length_c 38.7725
_cell_angle_alpha 90.00
_cell_angle_beta 90.00
_cell_angle_gamma 120.00
loop_
_atom_site_label
_atom_site_fract_x
_atom_site_fract_y
_atom_site_fract_z
K1 0.0000 0.0000 0.0000
Ba1 0.0000 0.0000 0.5000
Ta1 0.0000 0.0000 0.2486
```

Fermi-level density of states = 0.8659 states/eV/atom
Energy above the most stable polymorph in this dataset = 0.669 eV/atom
Formation enthalpy at 0 K = 1393 meV/atom



Material: YZrZn
Method: DFT, PBE
State: relaxed

```
data_YZrZn
_space_group_name_H-M_alt 'I 4 m m'
_space_group_IT_number 107
_space_group_name_Hall 'I 4 -2'
_cell_length_a 3.393
_cell_length_b 3.393
_cell_length_c 11.971
_cell_angle_alpha 90.00
_cell_angle_beta 90.00
_cell_angle_gamma 90.00
loop_
_atom_site_label
_atom_site_fract_x
_atom_site_fract_y
_atom_site_fract_z
Y1 0.000 0.000 0.000
Zr1 0.000 0.000 0.308
Zn1 0.000 0.000 0.670
```

Fermi-level density of states = 0.9951 states/eV/atom
Energy above the most stable polymorph in this dataset = 0.047 eV/atom
Formation enthalpy at 0 K = -154 meV/atom



Material: Tl3Sn11
Method: DFT, PBE
State: relaxed

```
data_Tl3Sn11
_space_group_name_H-M_alt 'I m m m'
_space_group_IT_number 71
_space_group_name_Hall '-I 2 2'
_cell_length_a 5.357
_cell_length_b 11.826
_cell_length_c 13.115
_cell_angle_alpha 90.00
_cell_angle_beta 90.00
_cell_angle_gamma 90.00
loop_
_atom_site_label
_atom_site_fract_x
_atom_site_fract_y
_atom_site_fract_z
Tl1 0.000 0.000 0.000
Tl2 0.000 0.000 0.279
Sn1 0.000 0.151 0.500
Sn2 0.000 0.275 0.148
Sn3 0.000 0.368 0.366
Sn4 0.000 0.500 0.000
```

Fermi-level density of states = 0.3224 states/eV/atom
Formation enthalpy at 0 K = 40 meV/atom



Material: ScHgBi2
Method: DFT, PBE
State: relaxed

```
data_ScHgBi2
_space_group_name_H-M_alt 'R 3 m'
_space_group_IT_number 160
_space_group_name_Hall 'R 3 -2"'
_cell_length_a 4.6821
_cell_length_b 4.6821
_cell_length_c 19.2129
_cell_angle_alpha 90.00
_cell_angle_beta 90.00
_cell_angle_gamma 120.00
loop_
_atom_site_label
_atom_site_fract_x
_atom_site_fract_y
_atom_site_fract_z
Sc1 0.0000 0.0000 0.0000
Hg1 0.0000 0.0000 0.8364
Bi1 0.0000 0.0000 0.4079
Bi2 0.0000 0.0000 0.5961
```

Fermi-level density of states = 0.5761 states/eV/atom
Formation enthalpy at 0 K = -116 meV/atom



Material: MgIn2Tc
Method: DFT, PBE
State: relaxed

```
data_MgIn2Tc
_space_group_name_H-M_alt 'C m m m'
_space_group_IT_number 65
_space_group_name_Hall '-C 2 2'
_cell_length_a 5.911
_cell_length_b 8.402
_cell_length_c 3.111
_cell_angle_alpha 90.00
_cell_angle_beta 90.00
_cell_angle_gamma 90.00
loop_
_atom_site_label
_atom_site_fract_x
_atom_site_fract_y
_atom_site_fract_z
Mg1 0.000 0.000 0.000
In1 0.250 0.250 0.500
Tc1 0.000 0.500 0.000
```

Fermi-level density of states = 0.5466 states/eV/atom
Formation enthalpy at 0 K = 222 meV/atom



Material: LiV3I
Method: DFT, PBE
State: relaxed

```
data_LiV3I
_space_group_name_H-M_alt 'P m -3 m'
_space_group_IT_number 221
_space_group_name_Hall '-P 4 2 3'
_cell_length_a 4.898
_cell_length_b 4.898
_cell_length_c 4.898
_cell_angle_alpha 90.00
_cell_angle_beta 90.00
_cell_angle_gamma 90.00
loop_
_atom_site_label
_atom_site_fract_x
_atom_site_fract_y
_atom_site_fract_z
Li1 0.000 0.000 0.000
V1 0.000 0.500 0.500
I1 0.500 0.500 0.500
```

Fermi-level density of states = 1.3782 states/eV/atom
Energy above the most stable polymorph in this dataset = 0.150 eV/atom



Material: Ac6La7Y16
Method: DFT, PBE
State: relaxed

```
data_Ac6La7Y16
_space_group_name_H-M_alt 'F m -3 m'
_space_group_IT_number 225
_space_group_name_Hall '-F 4 2 3'
_cell_length_a 16.486
_cell_length_b 16.486
_cell_length_c 16.486
_cell_angle_alpha 90.00
_cell_angle_beta 90.00
_cell_angle_gamma 90.00
loop_
_atom_site_label
_atom_site_fract_x
_atom_site_fract_y
_atom_site_fract_z
Ac1 0.000 0.000 0.245
La1 0.000 0.000 0.500
La2 0.000 0.250 0.250
Y1 0.130 0.130 0.370
Y2 0.159 0.159 0.159
```

Fermi-level density of states = 1.6560 states/eV/atom
Formation enthalpy at 0 K = 207 meV/atom



Material: Tm2ZnSi4Ni3
Method: DFT, PBE
State: relaxed

```
data_Tm2ZnSi4Ni3
_space_group_name_H-M_alt 'P -4 m 2'
_space_group_IT_number 115
_space_group_name_Hall 'P -4 -2'
_cell_length_a 3.923
_cell_length_b 3.923
_cell_length_c 9.801
_cell_angle_alpha 90.00
_cell_angle_beta 90.00
_cell_angle_gamma 90.00
loop_
_atom_site_label
_atom_site_fract_x
_atom_site_fract_y
_atom_site_fract_z
Tm1 0.000 0.500 0.243
Zn1 0.000 0.000 0.500
Si1 0.000 0.000 0.000
Si2 0.000 0.500 0.645
Si3 0.500 0.500 0.000
Ni1 0.000 0.500 0.877
Ni2 0.500 0.500 0.500
```

Fermi-level density of states = 0.4429 states/eV/atom
VASP energy = -56.71 eV per formula unit



Material: Dy5BiTe4
Method: DFT, PBE
State: relaxed

```
data_Dy5BiTe4
_space_group_name_H-M_alt 'I m m m'
_space_group_IT_number 71
_space_group_name_Hall '-I 2 2'
_cell_length_a 4.389
_cell_length_b 6.177
_cell_length_c 21.866
_cell_angle_alpha 90.00
_cell_angle_beta 90.00
_cell_angle_gamma 90.00
loop_
_atom_site_label
_atom_site_fract_x
_atom_site_fract_y
_atom_site_fract_z
Dy1 0.000 0.000 0.000
Dy2 0.000 0.000 0.200
Dy3 0.000 0.000 0.399
Bi1 0.000 0.500 0.000
Te1 0.000 0.500 0.201
Te2 0.000 0.500 0.400
```

Fermi-level density of states = 0.4810 states/eV/atom
Energy above the most stable polymorph in this dataset = 0.000 eV/atom



Material: BaSiI2O
Method: DFT, PBE
State: relaxed

```
data_BaSiI2O
_space_group_name_H-M_alt 'P 4/m m m'
_space_group_IT_number 123
_space_group_name_Hall '-P 4 2'
_cell_length_a 5.292
_cell_length_b 5.292
_cell_length_c 6.718
_cell_angle_alpha 90.00
_cell_angle_beta 90.00
_cell_angle_gamma 90.00
loop_
_atom_site_label
_atom_site_fract_x
_atom_site_fract_y
_atom_site_fract_z
Ba1 0.000 0.000 0.000
Si1 0.000 0.000 0.500
I1 0.000 0.500 0.500
O1 0.500 0.500 0.000
```

Fermi-level density of states = 3.2692 states/eV/atom
Energy above the most stable polymorph in this dataset = 1.022 eV/atom



Material: Y5Re3
Method: DFT, PBE
State: relaxed

```
data_Y5Re3
_space_group_name_H-M_alt 'I 4/m c m'
_space_group_IT_number 140
_space_group_name_Hall '-I 4 2c'
_cell_length_a 11.481
_cell_length_b 11.481
_cell_length_c 5.602
_cell_angle_alpha 90.00
_cell_angle_beta 90.00
_cell_angle_gamma 90.00
loop_
_atom_site_label
_atom_site_fract_x
_atom_site_fract_y
_atom_site_fract_z
Y1 0.000 0.500 0.250
Y2 0.082 0.217 0.000
Re1 0.000 0.000 0.250
Re2 0.162 0.338 0.500
```

Fermi-level density of states = 0.9605 states/eV/atom
Energy above the most stable polymorph in this dataset = 0.004 eV/atom
Formation enthalpy at 0 K = 287 meV/atom



Material: Ac2PmYS6
Method: DFT, PBE
State: relaxed

```
data_Ac2PmYS6
_space_group_name_H-M_alt 'R 3'
_space_group_IT_number 146
_space_group_name_Hall 'R 3'
_cell_length_a 7.3230
_cell_length_b 7.3230
_cell_length_c 18.8038
_cell_angle_alpha 90.00
_cell_angle_beta 90.00
_cell_angle_gamma 120.00
loop_
_atom_site_label
_atom_site_fract_x
_atom_site_fract_y
_atom_site_fract_z
Ac1 0.0000 0.0000 0.0000
Ac2 0.0000 0.0000 0.4989
Pm1 0.0000 0.0000 0.2135
Y1 0.0000 0.0000 0.7118
S1 0.0603 0.3527 0.7809
S2 0.0633 0.7012 0.2822
```

Fermi-level density of states = 0.0000 states/eV/atom
VASP energy = -65.17 eV per formula unit